Entry 1:
{"formula": "LiGdOs", "functional": "PBE", "state": "optimized geometry", "energy_ry_per_atom": -0.371, "spacegroup": "F-43m, No. 216", "lattice": [[0.000, 3.207, 3.207], [3.207, 0.000, 3.207], [3.207, 3.207, 0.000]], "species": ["Gd", "Os", "Li"], "frac_coords": [[0.000, 0.000, 0.000], [0.750, 0.750, 0.750], [0.250, 0.250, 0.250]]}

Entry 2:
{"formula": "LiGdPa", "functional": "PBE", "state": "optimized geometry", "energy_ry_per_atom": -0.308, "spacegroup": "F-43m, No. 216", "lattice": [[2.756, -3.602, -1.639], [0.247, -4.151, 2.442], [-2.049, -3.979, -1.795]], "species": ["Pa", "Li", "Gd"], "frac_coords": [[0.750, 0.750, 0.750], [0.250, 0.250, 0.250], [0.000, 0.000, 0.000]]}

Entry 3:
{"formula": "Li2GdYPt2Pb2", "functional": "PBE", "state": "optimized geometry", "energy_ry_per_atom": -0.371, "spacegroup": "P-4m2, No. 115", "lattice": [[-0.147, -4.122, -2.531], [0.921, -2.510, 4.033], [-6.715, -0.508, 1.217]], "species": ["Gd", "Li", "Li", "Pb", "Pb", "Pt", "Pt", "Y"], "frac_coords": [[0.000, 0.000, 0.000], [0.500, 0.000, 0.250], [0.000, 0.500, 0.750], [0.000, 0.000, 0.500], [0.500, 0.500, 0.000], [0.000, 0.500, 0.250], [0.500, 0.000, 0.750], [0.500, 0.500, 0.500]]}

Entry 4:
{"formula": "LiGdPbS3", "functional": "PBE", "state": "optimized geometry", "energy_ry_per_atom": -0.376, "spacegroup": "Cmcm, No. 63", "lattice": [[2.007, -6.467, 0.000], [2.007, 6.467, 0.000], [0.000, 0.000, 10.424]], "species": ["S", "S", "S", "S", "S", "S", "Gd", "Gd", "Pb", "Pb", "Li", "Li"], "frac_coords": [[0.421, 0.579, 0.750], [0.865, 0.135, 0.070], [0.579, 0.421, 0.250], [0.865, 0.135, 0.430], [0.135, 0.865, 0.930], [0.135, 0.865, 0.570], [0.500, 0.500, 0.000], [0.500, 0.500, 0.500], [0.747, 0.253, 0.750], [0.253, 0.747, 0.250], [0.023, 0.977, 0.750], [0.977, 0.023, 0.250]]}

Entry 5:
{"formula": "LiGdPbS3", "functional": "PBE", "state": "optimized geometry", "energy_ry_per_atom": -0.379, "spacegroup": "C2/m, No. 12", "lattice": [[8.507, -1.981, 0.000], [8.507, 1.981, 0.000], [-2.042, 0.000, 8.109]], "species": ["S", "S", "S", "S", "S", "S", "Li", "Li", "Gd", "Gd", "Pb", "Pb"], "frac_coords": [[0.000, 0.000, 0.500], [0.500, 0.500, 0.000], [0.672, 0.672, 0.817], [0.334, 0.334, 0.641], [0.328, 0.328, 0.183], [0.666, 0.666, 0.359], [0.501, 0.501, 0.697], [0.499, 0.499, 0.303], [0.835, 0.835, 0.410], [0.165, 0.165, 0.590], [0.133, 0.133, 0.064], [0.867, 0.867, 0.936]]}

Entry 6:
{"formula": "LiGdPbSe3", "functional": "PBE", "state": "optimized geometry", "energy_ry_per_atom": -0.346, "spacegroup": "Cmcm, No. 63", "lattice": [[2.083, -6.751, 0.000], [2.083, 6.751, 0.000], [0.000, 0.000, 10.822]], "species": ["Se", "Se", "Se", "Se", "Se", "Se", "Pb", "Pb", "Li", "Li", "Gd", "Gd"], "frac_coords": [[0.918, 0.082, 0.750], [0.082, 0.918, 0.250], [0.639, 0.361, 0.567], [0.361, 0.639, 0.067], [0.639, 0.361, 0.933], [0.361, 0.639, 0.433], [0.245, 0.755, 0.750], [0.755, 0.245, 0.250], [0.524, 0.476, 0.750], [0.476, 0.524, 0.250], [0.000, 0.000, 0.500], [0.000, 0.000, 0.000]]}

Entry 7:
{"formula": "LiGdPbSe3", "functional": "PBE", "state": "optimized geometry", "energy_ry_per_atom": -0.348, "spacegroup": "C2/m, No. 12", "lattice": [[8.893, -2.062, 0.000], [8.893, 2.062, 0.000], [-2.108, 0.000, 8.442]], "species": ["Se", "Se", "Se", "Se", "Se", "Se", "Gd", "Gd", "Li", "Li", "Pb", "Pb"], "frac_coords": [[0.325, 0.325, 0.677], [0.000, 0.000, 0.000], [0.334, 0.334, 0.144], [0.675, 0.675, 0.323], [0.500, 0.500, 0.500], [0.666, 0.666, 0.856], [0.166, 0.166, 0.090], [0.834, 0.834, 0.910], [0.498, 0.498, 0.802], [0.502, 0.502, 0.198], [0.867, 0.867, 0.435], [0.133, 0.133, 0.565]]}

Entry 8:
{"formula": "LiGdPdS3", "functional": "PBE", "state": "optimized geometry", "energy_ry_per_atom": -0.376, "spacegroup": "Cmcm, No. 63", "lattice": [[-5.780, 2.829, 1.742], [5.575, -3.015, 2.068], [4.653, 9.080, 0.694]], "species": ["S", "S", "S", "S", "S", "S", "Gd", "Gd", "Li", "Li", "Pd", "Pd"], "frac_coords": [[0.359, 0.641, 0.914], [0.895, 0.105, 0.250], [0.641, 0.359, 0.414], [0.105, 0.895, 0.750], [0.641, 0.359, 0.086], [0.359, 0.641, 0.586], [0.000, 0.000, 0.000], [0.000, 0.000, 0.500], [0.215, 0.785, 0.250], [0.785, 0.215, 0.750], [0.506, 0.494, 0.250], [0.494, 0.506, 0.750]]}

Entry 9:
{"formula": "LiGdSnPd", "functional": "PBE", "state": "optimized geometry", "energy_ry_per_atom": -0.349, "spacegroup": "F-43m, No. 216", "lattice": [[0.000, 3.384, 3.384], [3.384, 0.000, 3.384], [3.384, 3.384, 0.000]], "species": ["Gd", "Li", "Pd", "Sn"], "frac_coords": [[0.000, 0.000, 0.000], [0.250, 0.250, 0.250], [0.750, 0.750, 0.750], [0.500, 0.500, 0.500]]}

Entry 10:
{"formula": "Li2GdYSn2Pd2", "functional": "PBE", "state": "optimized geometry", "energy_ry_per_atom": -0.365, "spacegroup": "P-4m2, No. 115", "lattice": [[4.775, 0.000, 0.000], [0.000, 4.775, 0.000], [0.000, 0.000, 6.754]], "species": ["Li", "Li", "Sn", "Sn", "Pd", "Pd", "Y", "Gd"], "frac_coords": [[0.500, 0.000, 0.250], [0.000, 0.500, 0.750], [0.000, 0.000, 0.500], [0.500, 0.500, 0.000], [0.500, 0.000, 0.750], [0.000, 0.500, 0.250], [0.500, 0.500, 0.500], [0.000, 0.000, 0.000]]}

Entry 11:
{"formula": "LiGdPt", "functional": "PBE", "state": "optimized geometry", "energy_ry_per_atom": -0.344, "spacegroup": "F-43m, No. 216", "lattice": [[0.000, 3.088, 3.088], [3.088, 0.000, 3.088], [3.088, 3.088, 0.000]], "species": ["Pt", "Gd", "Li"], "frac_coords": [[0.750, 0.750, 0.750], [0.250, 0.250, 0.250], [0.000, 0.000, 0.000]]}

Entry 12:
{"formula": "Li2GdScSn2Pt2", "functional": "PBE", "state": "optimized geometry", "energy_ry_per_atom": -0.388, "spacegroup": "P-4m2, No. 115", "lattice": [[4.688, 0.000, 0.000], [0.000, 4.688, 0.000], [0.000, 0.000, 6.653]], "species": ["Gd", "Sn", "Sn", "Pt", "Pt", "Li", "Li", "Sc"], "frac_coords": [[0.000, 0.000, 0.000], [0.000, 0.000, 0.500], [0.500, 0.500, 0.000], [0.000, 0.500, 0.266], [0.500, 0.000, 0.734], [0.000, 0.500, 0.736], [0.500, 0.000, 0.264], [0.500, 0.500, 0.500]]}

Entry 13:
{"formula": "Li2GdYSn2Pt2", "functional": "PBE", "state": "optimized geometry", "energy_ry_per_atom": -0.390, "spacegroup": "P-4m2, No. 115", "lattice": [[-0.966, 0.599, -4.630], [0.416, -4.698, -0.695], [-6.576, -0.770, 1.273]], "species": ["Pt", "Pt", "Sn", "Sn", "Y", "Gd", "Li", "Li"], "frac_coords": [[0.500, 0.000, 0.750], [0.000, 0.500, 0.250], [0.000, 0.000, 0.500], [0.500, 0.500, 0.000], [0.500, 0.500, 0.500], [0.000, 0.000, 0.000], [0.000, 0.500, 0.750], [0.500, 0.000, 0.250]]}

Entry 14:
{"formula": "LiGdPu", "functional": "PBE", "state": "optimized geometry", "energy_ry_per_atom": -0.461, "spacegroup": "F-43m, No. 216", "lattice": [[0.000, 3.483, 3.483], [3.483, 0.000, 3.483], [3.483, 3.483, 0.000]], "species": ["Pu", "Gd", "Li"], "frac_coords": [[0.500, 0.500, 0.500], [0.000, 0.000, 0.000], [0.250, 0.250, 0.250]]}

Entry 15:
{"formula": "RbLiGd", "functional": "PBE", "state": "optimized geometry", "energy_ry_per_atom": -0.123, "spacegroup": "F-43m, No. 216", "lattice": [[0.000, 4.022, 4.022], [4.022, 0.000, 4.022], [4.022, 4.022, 0.000]], "species": ["Gd", "Rb", "Li"], "frac_coords": [[0.000, 0.000, 0.000], [0.500, 0.500, 0.500], [0.750, 0.750, 0.750]]}

Entry 16:
{"formula": "LiGdRe", "functional": "PBE", "state": "optimized geometry", "energy_ry_per_atom": -0.392, "spacegroup": "F-43m, No. 216", "lattice": [[3.096, -0.273, 3.064], [-0.941, 0.985, 4.146], [-0.178, -3.158, 3.007]], "species": ["Li", "Gd", "Re"], "frac_coords": [[0.250, 0.250, 0.250], [0.500, 0.500, 0.500], [0.000, 0.000, 0.000]]}

Entry 17:
{"formula": "LiGdS2", "functional": "PBE", "state": "optimized geometry", "energy_ry_per_atom": -0.407, "spacegroup": "R-3m, No. 166", "lattice": [[5.101, -1.126, 3.958], [6.528, -0.473, 0.342], [5.439, 2.562, 2.608]], "species": ["Gd", "Li", "S", "S"], "frac_coords": [[0.000, 0.000, 0.000], [0.500, 0.500, 0.500], [0.751, 0.751, 0.751], [0.249, 0.249, 0.249]]}

Entry 18:
{"formula": "LiSmGdS3", "functional": "PBE", "state": "optimized geometry", "energy_ry_per_atom": -0.428, "spacegroup": "C2/m, No. 12", "lattice": [[8.381, -1.920, 0.000], [8.381, 1.920, 0.000], [-1.959, 0.000, 7.846]], "species": ["S", "S", "S", "S", "S", "S", "Sm", "Sm", "Gd", "Gd", "Li", "Li"], "frac_coords": [[0.337, 0.337, 0.661], [0.677, 0.677, 0.840], [0.663, 0.663, 0.339], [0.323, 0.323, 0.160], [0.500, 0.500, 0.000], [0.000, 0.000, 0.500], [0.136, 0.136, 0.069], [0.864, 0.864, 0.931], [0.166, 0.166, 0.588], [0.834, 0.834, 0.412], [0.499, 0.499, 0.303], [0.501, 0.501, 0.697]]}

Entry 19:
{"formula": "LiGdSb3", "functional": "PBE", "state": "optimized geometry", "energy_ry_per_atom": -0.264, "spacegroup": "P6_3/mmc, No. 194", "lattice": [[-3.264, 5.616, -3.255], [0.301, -6.452, -3.325], [-5.579, -1.664, 2.723]], "species": ["Sb", "Sb", "Sb", "Sb", "Sb", "Sb", "Gd", "Gd", "Li", "Li"], "frac_coords": [[0.470, 0.941, 0.250], [0.059, 0.530, 0.250], [0.941, 0.470, 0.750], [0.530, 0.059, 0.750], [0.530, 0.470, 0.750], [0.470, 0.530, 0.250], [0.000, 0.000, 0.750], [0.000, 0.000, 0.250], [0.333, 0.667, 0.750], [0.667, 0.333, 0.250]]}

Entry 20:
{"formula": "LiGdSi", "functional": "PBE", "state": "optimized geometry", "energy_ry_per_atom": -0.288, "spacegroup": "F-43m, No. 216", "lattice": [[0.000, 3.327, 3.327], [3.327, 0.000, 3.327], [3.327, 3.327, 0.000]], "species": ["Li", "Gd", "Si"], "frac_coords": [[0.250, 0.250, 0.250], [0.000, 0.000, 0.000], [0.750, 0.750, 0.750]]}

Entry 21:
{"formula": "LiGdSi", "functional": "PBE", "state": "optimized geometry", "energy_ry_per_atom": -0.325, "spacegroup": "F-43m, No. 216", "lattice": [[0.000, 3.293, 3.293], [3.293, 0.000, 3.293], [3.293, 3.293, 0.000]], "species": ["Li", "Gd", "Si"], "frac_coords": [[0.750, 0.750, 0.750], [0.250, 0.250, 0.250], [0.000, 0.000, 0.000]]}

Entry 22:
{"formula": "Li2Gd2Si3", "functional": "PBE", "state": "optimized geometry", "energy_ry_per_atom": -0.354, "spacegroup": "Cmcm, No. 63", "lattice": [[2.147, -9.049, 0.000], [2.147, 9.049, 0.000], [0.000, 0.000, 6.680]], "species": ["Li", "Li", "Li", "Li", "Gd", "Gd", "Gd", "Gd", "Si", "Si", "Si", "Si", "Si", "Si"], "frac_coords": [[0.689, 0.311, 0.061], [0.311, 0.689, 0.561], [0.311, 0.689, 0.939], [0.689, 0.311, 0.439], [0.157, 0.843, 0.750], [0.843, 0.157, 0.250], [0.052, 0.948, 0.250], [0.948, 0.052, 0.750], [0.441, 0.559, 0.072], [0.559, 0.441, 0.572], [0.780, 0.220, 0.750], [0.220, 0.780, 0.250], [0.441, 0.559, 0.428], [0.559, 0.441, 0.928]]}

Entry 23:
{"formula": "Li3Gd3SiSn2", "functional": "PBE", "state": "optimized geometry", "energy_ry_per_atom": -0.315, "spacegroup": "P-62m, No. 189", "lattice": [[-1.684, 6.139, 3.613], [-4.426, -2.469, -5.282], [-2.273, -2.406, 3.030]], "species": ["Li", "Li", "Li", "Gd", "Gd", "Gd", "Sn", "Sn", "Si"], "frac_coords": [[0.000, 0.776, 0.500], [0.776, 0.000, 0.500], [0.224, 0.224, 0.500], [0.000, 0.406, 0.000], [0.406, 0.000, 0.000], [0.594, 0.594, 0.000], [0.333, 0.667, 0.500], [0.667, 0.333, 0.500], [0.000, 0.000, 0.000]]}

Entry 24:
{"formula": "LiSmGd", "functional": "PBE", "state": "optimized geometry", "energy_ry_per_atom": -0.239, "spacegroup": "F-43m, No. 216", "lattice": [[5.065, -0.266, -0.297], [2.510, -3.598, 2.562], [2.200, -3.835, -2.503]], "species": ["Li", "Sm", "Gd"], "frac_coords": [[0.750, 0.750, 0.750], [0.500, 0.500, 0.500], [0.000, 0.000, 0.000]]}

Entry 25:
{"formula": "SrLiGdTe3", "functional": "PBE", "state": "optimized geometry", "energy_ry_per_atom": -0.321, "spacegroup": "Pnma, No. 62", "lattice": [[-12.519, -6.293, 4.761], [0.783, -3.527, -2.602], [5.887, -5.120, 8.712]], "species": ["Gd", "Gd", "Gd", "Gd", "Te", "Te", "Te", "Te", "Te", "Te", "Te", "Te", "Te", "Te", "Te", "Te", "Sr", "Sr", "Sr", "Sr", "Li", "Li", "Li", "Li"], "frac_coords": [[0.984, 0.750, 0.668], [0.016, 0.250, 0.332], [0.516, 0.250, 0.168], [0.484, 0.750, 0.832], [0.890, 0.750, 0.431], [0.390, 0.750, 0.069], [0.354, 0.250, 0.749], [0.610, 0.250, 0.931], [0.146, 0.750, 0.249], [0.604, 0.750, 0.614], [0.396, 0.250, 0.386], [0.110, 0.250, 0.569], [0.646, 0.750, 0.251], [0.854, 0.250, 0.751], [0.104, 0.750, 0.886], [0.896, 0.250, 0.114], [0.723, 0.250, 0.461], [0.777, 0.750, 0.961], [0.277, 0.750, 0.539], [0.223, 0.250, 0.039], [0.494, 0.250, 0.590], [0.994, 0.250, 0.910], [0.006, 0.750, 0.090], [0.506, 0.750, 0.410]]}